Record 1
Computed, not measured: a relaxed structure of PuCoTc at the PBE level of DFT.

Properties
The crystal system is cubic. The volume is 50.4 Å³/cell. As for the formation energy: 746 meV per atom. The distance to the lowest polymorph of the same formula comes out at 0.0000 eV/atom.

Cell: 4.1474 4.1474 4.1474 Å, 60.00 60.00 60.00°
Fractional coordinates of all 3 atoms:
Co (0.0000, 0.0000, 0.0000)
Pu (0.2500, 0.2500, 0.2500)
Tc (0.7500, 0.7500, 0.7500)

=====

Record 2
Computed, not measured: a relaxed structure of Tm2PuCo2 at the PBE level of DFT.

Properties
The crystal system is monoclinic. The volume is 200.9 Å³/cell. As for the formation energy: -248 meV per atom.

Cell: 5.7433 5.7433 7.1766 Å, 99.57 99.57 59.84°
Last column: magnetic moment on the atom in μB.
Fractional coordinates of all 10 atoms:
Tm (0.5316, 0.7712, 0.1491)  0.22
Tm (0.7712, 0.5316, 0.6491)  0.22
Pu (0.1033, 0.8967, 0.7500)  5.00
Co (0.0024, 0.2966, 0.0092)  -0.60
Co (0.7034, 0.9976, 0.4908)  -0.57
Tm (0.2288, 0.4684, 0.3509)  0.22
Co (0.2966, 0.0024, 0.5092)  -0.57
Pu (0.8967, 0.1033, 0.2500)  5.00
Co (0.9976, 0.7034, 0.9908)  -0.60
Tm (0.4684, 0.2288, 0.8509)  0.22

=====

Record 3
Computed, not measured: a relaxed structure of PuZrCo at the PBE level of DFT.

Properties
The crystal system is cubic. The volume is 58.5 Å³/cell. As for the formation energy: 732 meV per atom. The distance to the lowest polymorph of the same formula comes out at 0.0000 eV/atom.

Cell: 4.3583 4.3583 4.3583 Å, 60.00 60.00 60.00°
Fractional coordinates of all 3 atoms:
Pu (0.2500, 0.2500, 0.2500)
Zr (0.7500, 0.7500, 0.7500)
Co (0.0000, 0.0000, 0.0000)

=====

Record 4
Computed, not measured: a relaxed structure of RbCo3 at the PBE level of DFT.

Properties
The crystal system is cubic. The volume is 64.6 Å³/cell. The distance to the lowest polymorph of the same formula comes out at 0.9060 eV/atom.

Cell: 4.0127 4.0127 4.0127 Å, 90.00 90.00 90.00°
Fractional coordinates of all 4 atoms:
Co (0.0000, 0.5000, 0.5000)
Rb (0.0000, 0.0000, 0.0000)
Co (0.5000, 0.0000, 0.5000)
Co (0.5000, 0.5000, 0.0000)

=====

What did the first record say?
Computed, not measured: a relaxed structure of PuCoTc at the PBE level of DFT.

Properties
The crystal system is cubic. The volume is 50.4 Å³/cell. As for the formation energy: 746 meV per atom. The distance to the lowest polymorph of the same formula comes out at 0.0000 eV/atom.

Cell: 4.1474 4.1474 4.1474 Å, 60.00 60.00 60.00°
Fractional coordinates of all 3 atoms:
Co (0.0000, 0.0000, 0.0000)
Pu (0.2500, 0.2500, 0.2500)
Tc (0.7500, 0.7500, 0.7500)

=====

Please write out number 2 again, unchanged.
Computed, not measured: a relaxed structure of Tm2PuCo2 at the PBE level of DFT.

Properties
The crystal system is monoclinic. The volume is 200.9 Å³/cell. As for the formation energy: -248 meV per atom.

Cell: 5.7433 5.7433 7.1766 Å, 99.57 99.57 59.84°
Last column: magnetic moment on the atom in μB.
Fractional coordinates of all 10 atoms:
Tm (0.5316, 0.7712, 0.1491)  0.22
Tm (0.7712, 0.5316, 0.6491)  0.22
Pu (0.1033, 0.8967, 0.7500)  5.00
Co (0.0024, 0.2966, 0.0092)  -0.60
Co (0.7034, 0.9976, 0.4908)  -0.57
Tm (0.2288, 0.4684, 0.3509)  0.22
Co (0.2966, 0.0024, 0.5092)  -0.57
Pu (0.8967, 0.1033, 0.2500)  5.00
Co (0.9976, 0.7034, 0.9908)  -0.60
Tm (0.4684, 0.2288, 0.8509)  0.22